A geometry-optimized Ho6GaNi2 structure. Source: OQMD, functional GGA-PBE.

Computed properties:
Volume   435.03 Å³ per cell
Total DFT energy (no corrections)   -5.00 eV/atom
Total magnetization   0.0 Bohr magnetons per cell

Cell lengths 8.276, 8.276, 8.276 Å; angles 112.74, 109.47, 106.27 degrees
Atoms (fractional coordinates):
Ho 0.180 0.286 0.466
Ho 0.040 0.235 0.805
Ho 0.820 0.714 0.534
Ho 0.820 0.286 0.105
Ni 0.349 0.000 0.349
Ho 0.960 0.765 0.195
Ga 0.500 0.500 0.000
Ga 0.000 0.000 0.000
Ho 0.327 0.633 0.306
Ho 0.327 0.020 0.694
Ni 0.123 0.623 0.500
Ho 0.673 0.980 0.306
Ho 0.673 0.367 0.694
Ho 0.180 0.714 0.895
Ni 0.877 0.377 0.500
Ni 0.651 0.000 0.651
Ho 0.431 0.235 0.195
Ho 0.569 0.765 0.805